The following is a DFT calculation (PBE) of a geometry-optimized Zr3InP5 structure.

Summary:
- total moment (μB per formula unit) = 0.0
- volume (Å³ per cell) = 193.9
- raw total energy (eV/atom) = -6.64

a = 6.1322 Å, b = 6.1322 Å, c = 5.9535 Å
α = 90.00°, β = 90.00°, γ = 120.00°
Last column: nearest neighbours and their distance in Å.
Atoms (fractional coordinates):
Zr1 0.5000 0.5000 0.5000  4 P 2.60
Zr2 0.0000 0.5000 0.5000  4 P 2.60
Zr3 0.5000 0.0000 0.5000  4 P 2.60
P1 0.0000 0.0000 0.5000  2 In 2.98, 6 Zr 3.07
P2 0.6667 0.3333 0.1800  1 P 2.14
P3 0.3333 0.6667 0.8200  1 P 2.14
P4 0.3333 0.6667 0.1800  1 P 2.14
P5 0.6667 0.3333 0.8200  1 P 2.14
In1 0.0000 0.0000 0.0000  2 P 2.98